Record 1
# YCdSiF2 (GGA-PBE, optimized geometry)
data_YCdSiF2
_cell_length_a 4.218
_cell_length_b 4.218
_cell_length_c 6.776
_cell_angle_alpha 90.00
_cell_angle_beta 90.00
_cell_angle_gamma 90.00
_space_group_name_H-M_alt 'P 4/m m m'
_space_group_IT_number 123
_space_group_name_Hall '-P 4 2'
loop_
_atom_site_label
_atom_site_fract_x
_atom_site_fract_y
_atom_site_fract_z
Y1 0.000 0.000 0.000
Cd1 0.000 0.000 0.500
Si1 0.500 0.500 0.500
F1 0.000 0.500 0.000
# Crystal system ... tetragonal
# Formation energy without anion corrections ... -8.5 eV/f.u.
# Magnetic moment ... 0.00 μB/f.u.

=====

Record 2
# SmCdF4 (GGA-PBE, optimized geometry)
data_SmCdF4
_cell_length_a 7.739
_cell_length_b 7.739
_cell_length_c 8.000
_cell_angle_alpha 90.00
_cell_angle_beta 90.00
_cell_angle_gamma 90.00
_space_group_name_H-M_alt 'I 41 m d'
_space_group_IT_number 109
_space_group_name_Hall 'I 4bw -2'
loop_
_atom_site_label
_atom_site_fract_x
_atom_site_fract_y
_atom_site_fract_z
Sm1 0.000 0.000 0.000
Cd1 0.000 0.000 0.465
F1 0.000 0.291 0.048
F2 0.000 0.311 0.465
# Crystal system ... tetragonal
# Formation energy without anion corrections ... -18.2 eV/f.u.
# Magnetic moment ... 0.00 μB/f.u.